(1)
The following is a PBE calculation of a relaxed structure of Th2Cd4Ag3, from Alexandria via LeMat-Bulk.

Results
Its crystal system is orthorhombic. The symmetry is Cmce. As for the formation enthalpy at 0 K: -0.070 eV per atom.

Cell and atoms, written as POSCAR:
```
Th2Cd4Ag3
1.0
6.2163 0.0000 0.0000
0.0000 8.4138 0.0000
-3.1082 0.0000 8.1389
Ag Th Cd
6 4 8
direct
0.5000 0.5000 0.0000
0.9843 0.2500 0.4686
0.5157 0.7500 0.5314
0.4843 0.2500 0.4686
0.0157 0.7500 0.5314
0.0000 0.0000 0.0000
0.6084 0.9029 0.2168
0.1084 0.5971 0.2168
0.3916 0.0971 0.7832
0.8916 0.4029 0.7832
0.1899 0.7500 0.8799
0.8101 0.2500 0.1201
0.1777 0.9838 0.3554
0.6777 0.5162 0.3554
0.3223 0.4838 0.6446
0.8223 0.0162 0.6446
0.6899 0.7500 0.8799
0.3101 0.2500 0.1201
```

(2)
The following is a PBE calculation of a relaxed structure of ThCd6Ag2, from Alexandria via LeMat-Bulk.

Results
Its crystal system is monoclinic. The energy above the most stable polymorph in this dataset comes out at 0.014 eV per atom. The symmetry is C2/m. As for the formation enthalpy at 0 K: -0.011 eV per atom.

Cell and atoms, written as POSCAR:
```
ThCd6Ag2
1.0
-4.4813 0.1431 -1.7324
-4.4396 -0.0605 5.3462
-1.7887 6.6468 -0.9573
Ag Cd Th
2 6 1
direct
0.6585 0.3384 0.3384
0.3415 0.6616 0.6616
0.8228 0.8447 0.5193
0.5000 0.7674 0.2326
0.1772 0.4807 0.1553
0.8228 0.5193 0.8447
0.1772 0.1553 0.4807
0.5000 0.2326 0.7674
0.0000 0.0000 0.0000
```

(3)
The following is a PBE calculation of a relaxed structure of Th2Cd15Ag2, from Alexandria via LeMat-Bulk.

Results
Its crystal system is trigonal. The symmetry is R-3m. As for the formation enthalpy at 0 K: -0.067 eV per atom.

Cell and atoms, written as POSCAR:
```
Th2Cd15Ag2
1.0
7.6113 0.0412 0.0367
1.0283 7.5417 0.0367
1.0283 0.9025 7.4875
Cd Th Ag
15 2 2
direct
0.3604 0.8438 0.3604
0.3604 0.3604 0.8438
0.0000 0.0000 0.5000
0.7068 0.2932 0.0000
0.0000 0.5000 0.0000
0.2932 0.7068 0.0000
0.6396 0.1562 0.6396
0.6396 0.6396 0.1562
0.7068 0.0000 0.2932
0.5000 0.0000 0.0000
0.8438 0.3604 0.3604
0.0000 0.7068 0.2932
0.2932 0.0000 0.7068
0.0000 0.2932 0.7068
0.1562 0.6396 0.6396
0.3334 0.3334 0.3334
0.6666 0.6666 0.6666
0.1061 0.1061 0.1061
0.8939 0.8939 0.8939
```